(1)
Computed, not measured: Ca2TcTe after structural relaxation at the PBE level of DFT.

Geometry as POSCAR:
```
Ca2TcTe
1.0
4.807 0.000 0.000
0.000 4.807 0.000
0.000 0.000 4.150
Ca Te Tc
2 1 1
Direct
0.000 0.000 0.000
0.500 0.500 0.000
0.000 0.500 0.500
0.500 0.000 0.500
```

For the magnetic moment, the calculation gives 1.037 Bohr magnetons per cell. As for the uncorrected formation energy: -0.016 eV per atom. For the volume, the calculation gives 96 Å³ per cell. As for the space group: P4/mmm.

(2)
Computed, not measured: BaSmHo4S8 after structural relaxation at the PBE level of DFT.

Geometry as POSCAR:
```
BaSmHo4S8
1.0
-4.647 2.909 -6.112
-4.956 -5.059 -4.154
-8.201 0.561 0.988
Ba Sm Ho S
1 1 4 8
Direct
0.373 0.373 0.880
0.002 0.002 0.994
0.625 0.625 0.124
0.002 0.495 0.502
0.495 0.002 0.502
0.002 0.002 0.502
0.236 0.803 0.724
0.803 0.236 0.724
0.236 0.236 0.724
0.231 0.231 0.306
0.753 0.231 0.263
0.231 0.753 0.263
0.753 0.753 0.263
0.757 0.757 0.728
```

For the magnetic moment, the calculation gives 0.000 Bohr magnetons per cell. As for the uncorrected formation energy: -1.960 eV per atom. For the volume, the calculation gives 396 Å³ per cell. As for the space group: R3m.

(3)
Computed, not measured: U3As4Pd2 after structural relaxation at the PBE level of DFT.

Geometry as POSCAR:
```
U3As4Pd2
1.0
-2.422 -1.330 -2.907
5.185 -4.001 -2.488
-2.838 -2.694 6.364
U As Pd
3 4 2
Direct
0.129 0.595 0.258
0.871 0.405 0.742
0.000 0.000 0.000
0.498 0.714 0.996
0.211 0.256 0.422
0.502 0.286 0.004
0.789 0.744 0.578
0.678 0.993 0.356
0.322 0.007 0.644
```

For the magnetic moment, the calculation gives 5.979 Bohr magnetons per cell. For the volume, the calculation gives 186 Å³ per cell. For the energy of formation from the pure elements, the calculation gives -0.638 eV/atom. As for the space group: C2/m.

(4)
Computed, not measured: HfIrBr2 after structural relaxation at the PBE level of DFT.

Geometry as POSCAR:
```
HfIrBr2
1.0
6.133 0.000 0.000
0.000 6.133 0.000
3.067 3.067 5.294
Ir Hf Br
2 2 4
Direct
0.000 0.000 0.000
0.750 0.250 0.500
0.500 0.500 0.000
0.250 0.750 0.500
0.641 0.125 0.250
0.109 0.625 0.250
0.375 0.359 0.750
0.875 0.891 0.750
```

For the magnetic moment, the calculation gives 0.000 Bohr magnetons per cell. The energy relative to the lowest polymorph listed for this composition is 625 meV/atom. As for the uncorrected formation energy: 0.750 eV per atom. For the volume, the calculation gives 199 Å³ per cell. As for the space group: I-42d.

(5)
Computed, not measured: Ba2MgH6Au after structural relaxation at the PBE level of DFT.

Geometry as POSCAR:
```
Ba2MgH6Au
1.0
6.189 -0.055 0.369
-0.055 6.189 0.369
3.330 3.330 4.721
Ba Mg H Au
2 1 6 1
Direct
0.750 0.250 0.440
0.250 0.750 0.440
0.001 0.001 0.992
0.259 0.259 0.555
0.741 0.741 0.074
0.216 0.785 0.044
0.785 0.216 0.044
0.199 0.199 0.095
0.799 0.799 0.493
0.500 0.500 0.822
```

For the magnetic moment, the calculation gives 0.000 Bohr magnetons per cell. For the total energy, the calculation gives -3.19 eV/atom. For the volume, the calculation gives 165 Å³ per cell. As for the space group: Cm.

(6)
Computed, not measured: La2Pm4Nd2Ho after structural relaxation at the PBE level of DFT.

Geometry as POSCAR:
```
La2Pm4Nd2Ho
1.0
3.701 0.000 0.000
-1.850 9.573 -0.475
0.000 -3.802 9.062
La Pm Nd Ho
2 4 2 1
Direct
0.335 0.670 0.001
0.665 0.330 0.999
0.815 0.630 0.666
0.185 0.370 0.334
0.519 0.038 0.330
0.481 0.962 0.670
0.853 0.706 0.334
0.147 0.294 0.666
0.000 0.000 0.000
```

For the magnetic moment, the calculation gives 0.000 Bohr magnetons per cell. For the volume, the calculation gives 314 Å³ per cell. For the energy of formation from the pure elements, the calculation gives 0.010 eV/atom. As for the space group: C2/m.